# 1
VASP calculation (PBE) on a relaxed Mg2ZrSc crystal.

Calculated values
Formation energy from the elements: 0.3 eV/f.u.
Magnetic moment: 0.00 μB/cell

a b c (Å): 6.178 6.178 6.178
angles (deg): 148.46 132.03 58.55
Fractional coordinates of all 4 atoms:
Mg1 0.999 0.999 0.000
Mg2 0.501 0.501 0.000
Zr1 0.250 0.750 0.500
Sc1 0.750 0.250 0.500


# 2
VASP calculation (PBE) on a relaxed MgZr2Sc crystal.

Calculated values
Formation energy from the elements: 0.3 eV/f.u.
Magnetic moment: 0.00 μB/cell

a b c (Å): 6.058 6.058 6.058
angles (deg): 147.96 128.25 62.17
Fractional coordinates of all 4 atoms:
Zr1 0.256 0.756 0.500
Zr2 0.004 0.004 0.000
Mg1 0.500 0.500 0.000
Sc1 0.740 0.240 0.500


# 3
VASP calculation (PBE) on a relaxed MgZr3Sc3 crystal.

Calculated values
Distance to the lowest polymorph of the same formula: 0.0000 eV per atom
Formation energy from the elements: 0.5 eV/f.u.
Magnetic moment: 0.00 μB/cell

a b c (Å): 7.213 7.213 12.208
angles (deg): 65.57 72.78 36.72
Fractional coordinates of all 14 atoms:
Zr1 0.268 0.665 0.604
Zr2 0.732 0.335 0.396
Zr3 0.601 0.996 0.605
Zr4 0.067 0.668 0.398
Zr5 0.933 0.332 0.602
Zr6 0.399 0.004 0.395
Sc1 0.467 0.667 0.800
Sc2 0.199 0.999 0.200
Sc3 0.533 0.333 0.200
Sc4 0.801 0.001 0.800
Sc5 0.867 0.666 0.201
Sc6 0.133 0.334 0.799
Mg1 0.332 0.332 0.000
Mg2 0.668 0.668 0.000


# 4
VASP calculation (PBE) on a relaxed MgZr4Sc crystal.

Calculated values
Distance to the lowest polymorph of the same formula: 0.0000 eV per atom
Formation energy from the elements: 0.3 eV/f.u.
Magnetic moment: 0.00 μB/cell

a b c (Å): 5.617 6.347 9.654
angles (deg): 90.00 126.26 90.00
Fractional coordinates of all 12 atoms:
Zr1 0.501 0.501 0.660
Zr2 0.003 0.250 0.998
Zr3 0.000 0.250 0.663
Zr4 0.499 0.001 0.340
Zr5 0.997 0.750 0.002
Zr6 0.499 0.499 0.340
Zr7 0.000 0.750 0.337
Zr8 0.501 0.999 0.660
Mg1 0.500 0.500 0.000
Mg2 0.500 0.000 0.000
Sc1 0.996 0.250 0.332
Sc2 0.004 0.750 0.668


# 5
VASP calculation (PBE) on a relaxed Mg3Se crystal.

Calculated values
Final energy: -9.02 eV/cell
Magnetic moment: 0.00 μB/cell

a b c (Å): 5.563 5.563 5.563
angles (deg): 115.61 115.61 115.61
Fractional coordinates of all 4 atoms:
Mg1 0.500 0.000 0.500
Mg2 0.000 0.000 0.000
Mg3 0.000 0.500 0.500
Se1 0.500 0.500 0.000


# 6
VASP calculation (PBE) on a relaxed Mg3Se crystal.

Calculated values
Final energy: -9.56 eV/cell
Magnetic moment: 0.00 μB/cell

a b c (Å): 3.482 3.482 7.316
angles (deg): 90.00 90.00 89.99
Fractional coordinates of all 4 atoms:
Se1 0.500 0.500 0.250
Mg1 0.500 0.500 0.750
Mg2 0.000 0.000 0.464
Mg3 0.000 0.000 0.036


# 7
VASP calculation (PBE) on a relaxed MgSe3 crystal.

Calculated values
Final energy: -26.93 eV/cell
Magnetic moment: 0.00 μB/cell

a b c (Å): 18.943 18.943 18.943
angles (deg): 168.75 168.75 15.94
Fractional coordinates of all 8 atoms:
Mg1 0.631 0.631 0.000
Mg2 0.369 0.369 0.000
Se1 0.000 0.500 0.500
Se2 0.750 0.250 0.500
Se3 0.500 0.000 0.500
Se4 0.870 0.870 0.000
Se5 0.130 0.130 0.000
Se6 0.250 0.750 0.500


# 8
VASP calculation (PBE) on a relaxed Mg2Se crystal.

Calculated values
Final energy: -24.82 eV/cell
Magnetic moment: 0.00 μB/cell

a b c (Å): 6.633 6.633 6.104
angles (deg): 90.00 90.00 120.00
Fractional coordinates of all 9 atoms:
Se1 0.667 0.333 0.500
Se2 0.000 0.000 0.000
Se3 0.333 0.667 0.500
Mg1 0.000 0.617 0.809
Mg2 0.000 0.383 0.191
Mg3 0.617 0.000 0.809
Mg4 0.383 0.383 0.809
Mg5 0.617 0.617 0.191
Mg6 0.383 0.000 0.191


# 9
VASP calculation (PBE) on a relaxed MgSe3 crystal.

Calculated values
Final energy: -13.80 eV/cell
Magnetic moment: 0.00 μB/cell

a b c (Å): 4.862 4.862 4.862
angles (deg): 109.47 109.47 109.47
Fractional coordinates of all 4 atoms:
Se1 0.000 0.500 0.500
Se2 0.500 0.000 0.500
Se3 0.500 0.500 0.000
Mg1 0.000 0.000 0.000


# 10
VASP calculation (PBE) on a relaxed Mg8Se crystal.

Calculated values
Final energy: -17.11 eV/cell
Magnetic moment: 0.00 μB/cell

a b c (Å): 7.648 7.648 7.648
angles (deg): 93.35 93.35 152.00
Fractional coordinates of all 9 atoms:
Mg1 0.662 0.000 0.662
Mg2 0.340 0.660 0.000
Mg3 0.338 0.000 0.338
Mg4 0.660 0.340 0.000
Mg5 0.000 0.338 0.338
Mg6 0.660 0.660 0.320
Mg7 0.000 0.662 0.662
Mg8 0.340 0.340 0.680
Se1 0.000 0.000 0.000


# 11
VASP calculation (PBE) on a relaxed Mg5Se3 crystal.

Calculated values
Distance to the lowest polymorph of the same formula: 0.1571 eV per atom
Magnetic moment: 0.00 μB/cell

a b c (Å): 7.650 7.650 7.330
angles (deg): 90.00 90.00 120.01
Fractional coordinates of all 16 atoms:
Se1 0.000 0.444 0.750
Se2 0.444 0.444 0.250
Se3 0.556 0.000 0.250
Se4 0.444 0.000 0.750
Se5 0.556 0.556 0.750
Se6 0.000 0.556 0.250
Mg1 0.215 0.000 0.250
Mg2 0.000 0.215 0.250
Mg3 0.000 0.785 0.750
Mg4 0.667 0.333 0.500
Mg5 0.667 0.333 0.000
Mg6 0.333 0.667 0.000
Mg7 0.785 0.000 0.750
Mg8 0.333 0.667 0.500
Mg9 0.215 0.215 0.750
Mg10 0.785 0.785 0.250


# 12
VASP calculation (PBE) on a relaxed Mg5Se3 crystal.

Calculated values
Distance to the lowest polymorph of the same formula: 0.0000 eV per atom
Magnetic moment: 0.00 μB/cell

a b c (Å): 6.956 7.766 8.803
angles (deg): 104.51 101.04 116.98
Fractional coordinates of all 16 atoms:
Mg1 0.756 0.056 0.036
Mg2 0.986 0.912 0.267
Mg3 0.344 0.621 0.978
Mg4 0.808 0.590 0.604
Mg5 0.243 0.944 0.963
Mg6 0.013 0.089 0.733
Mg7 0.191 0.410 0.396
Mg8 0.346 0.945 0.645
Mg9 0.653 0.055 0.355
Mg10 0.655 0.379 0.022
Se1 0.240 0.303 0.075
Se2 0.943 0.594 0.338
Se3 0.414 0.202 0.475
Se4 0.760 0.697 0.925
Se5 0.056 0.406 0.662
Se6 0.585 0.798 0.525